Entry from the Alexandria database: a crystal of KBa2Li2 relaxed with PBEsol (meta-GGA SCAN).

Values from the calculation:
Energy relative to the elements: 121 meV/atom
Distance to the lowest polymorph of the same formula: 53 meV per atom
N(E_F): 5.0 states/eV/f.u.
Total energy: -183.21 eV for the cell shown

abc: 4.0551 10.6569 10.6569
angles: 90.00 90.00 90.00
Positions (direct):
K1 0.0000 0.0000 0.0000
K2 0.0000 0.5000 0.5000
Ba1 0.0000 0.3665 0.8665
Ba2 0.0000 0.8665 0.6335
Ba3 0.0000 0.6335 0.1335
Ba4 0.0000 0.1335 0.3665
Li1 0.5000 0.1591 0.6591
Li2 0.5000 0.6591 0.8409
Li3 0.5000 0.8409 0.3409
Li4 0.5000 0.3409 0.1591